(1)
Below is an optimized crystal structure of TbHo3Tl2, with properties calculated at the GGA-PBE level.

Summary:
E: -4.004 eV per atom
energy of formation from the pure elements: -15 kJ/mol of atoms
symmetry: C2/m
N(E_F): 1.1393 states/eV/atom

Cell lengths 5.3635, 9.1822, 9.2593 Å; angles 124.53, 90.00, 106.98 degrees
Closest atoms and distances in Å follow each position.
Fractional positions:
Tb 0.8696 0.7391 0.9081  5 Tl 3.22-3.54, 2 Ho 3.54
Tb 0.1304 0.2609 0.0919  5 Tl 3.22-3.54, 2 Ho 3.54
Ho 0.3074 0.6147 0.6069  2 Tl 3.05-3.38, 2 Ho 3.23
Ho 0.9421 0.8842 0.5996  3 Tl 3.36-3.40, 6 Ho 3.46-3.60, 2 Tb 3.72-3.75
Ho 0.6163 0.2327 0.6871  3 Tl 2.98-3.10
Ho 0.3837 0.7673 0.3129  3 Tl 2.98-3.10
Ho 0.0579 0.1158 0.4004  3 Tl 3.36-3.40, 6 Ho 3.46-3.60, 2 Tb 3.72-3.75
Ho 0.6926 0.3853 0.3931  2 Tl 3.05-3.38, 2 Ho 3.23
Tl 0.5227 0.0455 0.8707  1 Tl 2.94, 2 Ho 2.98-3.05, 2 Tb 3.22
Tl 0.4773 0.9545 0.1293  1 Tl 2.94, 2 Ho 2.98-3.05, 2 Tb 3.22
Tl 0.7773 0.5547 0.1473  5 Ho 3.10-3.45, 1 Tb 3.43
Tl 0.2227 0.4453 0.8527  5 Ho 3.10-3.45, 1 Tb 3.43

(2)
Below is an optimized crystal structure of K2CrGaTe4, with properties calculated at the GGA-PBE level.

Summary:
E: -3.882 eV per atom
symmetry: Imma
raw formation energy: -455 meV per atom
N(E_F): 0.4293 states/eV/atom

Cell lengths 8.8396, 8.8397, 8.7039 Å; angles 119.48, 119.48, 89.94 degrees
Closest atoms and distances in Å follow each position.
Fractional positions:
K 0.5000 0.0000 0.0000  6 Te 3.45-3.46
K 0.5000 0.0000 0.5000  6 Te 3.45-3.46
K 0.0000 0.0000 0.5000  6 Te 3.34
K 0.5000 0.5000 0.0000  6 Te 3.34
Cr 0.0000 0.5000 0.0000  6 Te 2.82-2.84
Cr 0.0000 0.5000 0.5000  6 Te 2.82-2.84
Ga 0.5000 0.5000 0.5000  6 Te 2.96-2.97
Ga 0.0000 0.0000 0.0000  6 Te 2.96-2.97
Te 0.1878 0.7173 0.9525  2 Cr 2.84, 1 Ga 2.97
Te 0.7827 0.3122 0.5475  2 Cr 2.84, 1 Ga 2.97
Te 0.2173 0.6878 0.4525  2 Cr 2.84, 1 Ga 2.97
Te 0.8122 0.2827 0.0475  2 Cr 2.84, 1 Ga 2.97
Te 0.7758 0.7243 0.9685  1 Cr 2.82, 2 Ga 2.96
Te 0.7757 0.7242 0.5315  1 Cr 2.82, 2 Ga 2.96
Te 0.2243 0.2758 0.4685  1 Cr 2.82, 2 Ga 2.96
Te 0.2242 0.2757 0.0315  1 Cr 2.82, 2 Ga 2.96

(3)
Below is an optimized crystal structure of Pm2Nd6Er3, with properties calculated at the GGA-PBE level.

Summary:
E: -4.421 eV per atom
energy of formation from the pure elements: 28 kJ/mol of atoms
symmetry: I4/mmm
N(E_F): 1.4733 states/eV/atom

Cell lengths 4.7809, 4.7809, 17.4313 Å; angles 97.88, 97.88, 90.00 degrees
Closest atoms and distances in Å follow each position.
Fractional positions:
Pm 0.4549 0.4549 0.9099  1 Pm 3.08
Pm 0.5451 0.5451 0.0901  1 Pm 3.08
Nd 0.1216 0.6216 0.2432  6 Nd 3.38-3.72, 2 Er 3.47, 2 Pm 3.54
Nd 0.6216 0.1216 0.2432  6 Nd 3.38-3.72, 2 Er 3.47, 2 Pm 3.54
Nd 0.8784 0.3784 0.7568  6 Nd 3.38-3.72, 2 Er 3.47, 2 Pm 3.54
Nd 0.3784 0.8784 0.7568  6 Nd 3.38-3.72, 2 Er 3.47, 2 Pm 3.54
Nd 0.7049 0.7049 0.4098  5 Er 3.40-3.42, 4 Nd 3.72
Nd 0.2951 0.2951 0.5902  5 Er 3.40-3.42, 4 Nd 3.72
Er 0.0000 0.0000 0.0000  8 Pm 3.72
Er 0.8050 0.8050 0.6099  9 Nd 3.40-3.47
Er 0.1950 0.1950 0.3901  9 Nd 3.40-3.47

(4)
Below is an optimized crystal structure of ScCuSb2, with properties calculated at the GGA-PBE level.

Summary:
E: -4.904 eV per atom
symmetry: P2/m
raw formation energy: -236 meV per atom
N(E_F): 0.5737 states/eV/atom

Cell lengths 4.1585, 3.4039, 6.3989 Å; angles 90.32, 90.00, 90.00 degrees
Closest atoms and distances in Å follow each position.
Fractional positions:
Cu 0.5000 0.7500 0.7500  4 Sb 2.65
Sb 0.0000 0.7480 0.0075  2 Cu 2.65
Sb 0.0000 0.7520 0.4925  2 Cu 2.65
Sc 0.5000 0.2500 0.2500  8 Sb 3.10, 2 Sc 3.40